<A>
Compound: Te4AsPt
Source: the Alexandria database
Functional: GGA-PBE
Structure: relaxed

a b c (Å): 6.832 6.832 7.110
angles (deg): 121.09 121.09 35.39
Fractional positions:
Te1 0.132 0.132 0.281
Te2 0.356 0.356 0.174
Te3 0.644 0.644 0.826
Te4 0.868 0.868 0.719
As1 0.000 0.000 0.500
Pt1 0.500 0.500 0.000

Summary:
**M_tot**: 0.0 μB/cell

---

<B>
Compound: Te4AsPt
Source: the Alexandria database
Functional: GGA-PBE
Structure: relaxed

a b c (Å): 6.138 6.138 6.138
angles (deg): 60.00 60.00 60.00
Fractional positions:
Te1 0.376 0.376 0.376
Te2 0.376 0.376 0.873
Te3 0.376 0.873 0.376
Te4 0.873 0.376 0.376
As1 0.000 0.000 0.000
Pt1 0.750 0.750 0.750

Summary:
**M_tot**: 0.0 μB/cell

---

Winner for stability: <A>